Compound: K2TlCd2
Source: Alexandria via LeMat-Bulk
Functional: meta-GGA SCAN
Structure: single point on PBEsol structure

ΔE_f	-0.075	eV per atom

Cell lengths 5.606, 7.738, 7.738 Å; angles 90.00, 90.00, 90.00 degrees
Sites, in units of the cell vectors:
Cd (0.000, 0.368, 0.868)
Cd (0.000, 0.132, 0.368)
Cd (0.000, 0.632, 0.132)
Cd (0.000, 0.868, 0.632)
K (0.500, 0.322, 0.178)
K (0.500, 0.822, 0.322)
K (0.500, 0.678, 0.822)
K (0.500, 0.178, 0.678)
Tl (0.000, 0.500, 0.500)
Tl (0.000, 0.000, 0.000)

Compound: K2TlCd
Source: Alexandria via LeMat-Bulk
Functional: meta-GGA SCAN
Structure: single point on PBEsol structure

ΔE_f	-0.131	eV per atom

Cell lengths 4.880, 5.062, 6.865 Å; angles 90.00, 110.82, 90.00 degrees
Sites, in units of the cell vectors:
K (0.400, 0.500, 0.800)
K (0.093, 0.000, 0.185)
Tl (0.801, 0.000, 0.603)
Cd (0.693, 0.500, 0.387)

Compound: KTlCd
Source: Alexandria via LeMat-Bulk
Functional: meta-GGA SCAN
Structure: single point on PBEsol structure

ΔE_f	0.047	eV per atom
energy above the most stable polymorph in this dataset	0.190	eV per atom

Cell lengths 3.695, 3.695, 7.986 Å; angles 90.00, 90.00, 120.00 degrees
Sites, in units of the cell vectors:
Cd (0.000, 0.000, 0.026)
Tl (0.667, 0.333, 0.305)
K (0.333, 0.667, 0.669)

Compound: K2TlCd
Source: Alexandria via LeMat-Bulk
Functional: meta-GGA SCAN
Structure: single point on PBEsol structure

ΔE_f	-0.067	eV per atom

Cell lengths 4.056, 4.056, 9.655 Å; angles 90.00, 90.00, 90.00 degrees
Sites, in units of the cell vectors:
K (0.000, 0.000, 0.929)
K (0.500, 0.500, 0.320)
Tl (0.000, 0.000, 0.564)
Cd (0.500, 0.500, 0.687)

Compound: KTlCd4
Source: Alexandria via LeMat-Bulk
Functional: meta-GGA SCAN
Structure: single point on PBEsol structure

ΔE_f	-0.058	eV per atom

Cell lengths 5.994, 5.994, 5.994 Å; angles 60.00, 60.00, 60.00 degrees
Sites, in units of the cell vectors:
Cd (0.876, 0.375, 0.375)
Cd (0.375, 0.375, 0.876)
Cd (0.375, 0.876, 0.375)
Cd (0.375, 0.375, 0.375)
K (0.750, 0.750, 0.750)
Tl (0.000, 0.000, 0.000)

Compound: K2TlCd
Source: Alexandria via LeMat-Bulk
Functional: meta-GGA SCAN
Structure: single point on PBEsol structure

ΔE_f	-0.130	eV per atom

Cell lengths 4.539, 5.993, 6.548 Å; angles 117.23, 110.28, 90.00 degrees
Sites, in units of the cell vectors:
Cd (0.208, 0.708, 0.417)
Tl (0.541, 0.541, 0.083)
K (0.977, 0.977, 0.953)
K (0.774, 0.274, 0.547)

Compound: KTlCd
Source: Alexandria via LeMat-Bulk
Functional: meta-GGA SCAN
Structure: single point on PBEsol structure

ΔE_f	-0.143	eV per atom
energy above the most stable polymorph in this dataset	0.000	eV per atom

Cell lengths 3.527, 5.360, 5.360 Å; angles 120.00, 90.00, 90.00 degrees
Sites, in units of the cell vectors:
Tl (0.166, 0.667, 0.333)
K (0.667, 0.333, 0.667)
Cd (0.167, 0.000, 0.000)

Compound: KTlCd
Source: Alexandria via LeMat-Bulk
Functional: meta-GGA SCAN
Structure: single point on PBEsol structure

ΔE_f	-0.097	eV per atom
energy above the most stable polymorph in this dataset	0.046	eV per atom

Cell lengths 3.756, 4.084, 6.741 Å; angles 107.63, 106.18, 90.00 degrees
Sites, in units of the cell vectors:
Cd (0.969, 0.969, 0.939)
Tl (0.365, 0.365, 0.729)
K (0.666, 0.666, 0.332)

Compound: KTl4Cd
Source: Alexandria via LeMat-Bulk
Functional: meta-GGA SCAN
Structure: single point on PBEsol structure

ΔE_f	0.013	eV per atom

Cell lengths 6.385, 6.385, 6.385 Å; angles 60.00, 60.00, 60.00 degrees
Sites, in units of the cell vectors:
Tl (0.376, 0.376, 0.873)
Tl (0.873, 0.376, 0.376)
Tl (0.376, 0.376, 0.376)
Tl (0.376, 0.873, 0.376)
K (0.000, 0.000, 0.000)
Cd (0.750, 0.750, 0.750)

Compound: K2TlCd
Source: Alexandria via LeMat-Bulk
Functional: meta-GGA SCAN
Structure: single point on PBEsol structure

ΔE_f	-0.156	eV per atom

Cell lengths 5.227, 5.233, 6.985 Å; angles 111.89, 90.00, 119.96 degrees
Sites, in units of the cell vectors:
Cd (0.209, 0.417, 0.626)
K (0.771, 0.542, 0.313)
K (0.979, 0.958, 0.938)
Tl (0.541, 0.083, 0.624)

Compound: KCd2W
Source: Alexandria via LeMat-Bulk
Functional: meta-GGA SCAN
Structure: single point on PBEsol structure

ΔE_f	0.754	eV per atom
energy above the most stable polymorph in this dataset	0.131	eV per atom

Cell lengths 2.825, 2.825, 10.651 Å; angles 90.00, 90.00, 90.00 degrees
Sites, in units of the cell vectors:
Cd (0.500, 0.500, 0.224)
Cd (0.000, 0.000, 0.987)
W (0.500, 0.500, 0.782)
K (0.000, 0.000, 0.506)

Compound: KCd2W
Source: Alexandria via LeMat-Bulk
Functional: meta-GGA SCAN
Structure: single point on PBEsol structure

ΔE_f	0.765	eV per atom
energy above the most stable polymorph in this dataset	0.142	eV per atom

Cell lengths 2.808, 5.406, 5.406 Å; angles 90.05, 90.00, 90.00 degrees
Sites, in units of the cell vectors:
Cd (0.000, 0.500, 0.000)
Cd (0.000, 0.000, 0.500)
K (0.500, 0.000, 0.000)
W (0.500, 0.500, 0.500)

Compound: KCd2W
Source: Alexandria via LeMat-Bulk
Functional: meta-GGA SCAN
Structure: single point on PBEsol structure

ΔE_f	0.695	eV per atom
energy above the most stable polymorph in this dataset	0.072	eV per atom

Cell lengths 2.821, 4.216, 7.769 Å; angles 90.00, 90.00, 90.00 degrees
Sites, in units of the cell vectors:
K (0.500, 0.500, 0.000)
Cd (0.000, 0.000, 0.685)
Cd (0.000, 0.000, 0.315)
W (0.500, 0.500, 0.500)

Compound: KCd2W
Source: Alexandria via LeMat-Bulk
Functional: meta-GGA SCAN
Structure: single point on PBEsol structure

ΔE_f	0.755	eV per atom
energy above the most stable polymorph in this dataset	0.133	eV per atom

Cell lengths 2.917, 2.917, 11.294 Å; angles 82.58, 82.58, 60.00 degrees
Sites, in units of the cell vectors:
W (0.258, 0.258, 0.226)
Cd (0.997, 0.997, 0.008)
Cd (0.743, 0.743, 0.771)
K (0.502, 0.502, 0.495)

Compound: K2CdW
Source: Alexandria via LeMat-Bulk
Functional: meta-GGA SCAN
Structure: single point on PBEsol structure

ΔE_f	1.110	eV per atom

Cell lengths 2.958, 2.958, 12.523 Å; angles 83.22, 83.22, 60.00 degrees
Sites, in units of the cell vectors:
K (0.247, 0.247, 0.260)
K (0.753, 0.753, 0.740)
Cd (0.000, 0.000, 0.000)
W (0.500, 0.500, 0.500)

Compound: KCd2W
Source: Alexandria via LeMat-Bulk
Functional: meta-GGA SCAN
Structure: single point on PBEsol structure

ΔE_f	0.623	eV per atom
energy above the most stable polymorph in this dataset	0.000	eV per atom

Cell lengths 2.848, 2.848, 10.382 Å; angles 90.00, 90.00, 90.00 degrees
Sites, in units of the cell vectors:
W (0.500, 0.500, 0.500)
Cd (0.000, 0.000, 0.287)
Cd (0.000, 0.000, 0.713)
K (0.500, 0.500, 0.000)

Compound: KCd2W
Source: Alexandria via LeMat-Bulk
Functional: meta-GGA SCAN
Structure: single point on PBEsol structure

ΔE_f	1.302	eV per atom
energy above the most stable polymorph in this dataset	0.680	eV per atom

Cell lengths 4.999, 4.999, 4.999 Å; angles 60.00, 60.00, 60.00 degrees
Sites, in units of the cell vectors:
K (0.500, 0.500, 0.500)
Cd (0.750, 0.750, 0.750)
Cd (0.000, 0.000, 0.000)
W (0.250, 0.250, 0.250)

Compound: K2ZnCd
Source: Alexandria via LeMat-Bulk
Functional: meta-GGA SCAN
Structure: single point on PBEsol structure

ΔE_f	0.004	eV per atom
energy above the most stable polymorph in this dataset	0.014	eV per atom

Cell lengths 5.154, 4.652, 6.680 Å; angles 90.00, 112.72, 90.00 degrees
Sites, in units of the cell vectors:
K (0.025, 0.000, 0.925)
K (0.726, 0.500, 0.327)
Cd (0.426, 0.500, 0.728)
Zn (0.323, 0.000, 0.520)

Compound: KZn2Cd2
Source: Alexandria via LeMat-Bulk
Functional: meta-GGA SCAN
Structure: single point on PBEsol structure

ΔE_f	-0.016	eV per atom

Cell lengths 4.604, 4.604, 6.431 Å; angles 110.97, 110.97, 90.00 degrees
Sites, in units of the cell vectors:
K (0.000, 0.000, 0.000)
Cd (0.250, 0.750, 0.500)
Cd (0.750, 0.250, 0.500)
Zn (0.387, 0.387, 0.774)
Zn (0.613, 0.613, 0.226)

Compound: KZn2Cd
Source: Alexandria via LeMat-Bulk
Functional: meta-GGA SCAN
Structure: single point on PBEsol structure

ΔE_f	0.272	eV per atom

Cell lengths 5.022, 5.022, 5.048 Å; angles 119.83, 119.83, 90.00 degrees
Sites, in units of the cell vectors:
Cd (0.500, 0.500, 0.000)
Zn (0.750, 0.250, 0.500)
Zn (0.000, 0.000, 0.000)
K (0.250, 0.750, 0.500)

Compound: K2ZnCd
Source: Alexandria via LeMat-Bulk
Functional: meta-GGA SCAN
Structure: single point on PBEsol structure

ΔE_f	0.147	eV per atom
energy above the most stable polymorph in this dataset	0.157	eV per atom

Cell lengths 5.821, 5.821, 5.821 Å; angles 60.00, 60.00, 60.00 degrees
Sites, in units of the cell vectors:
Zn (0.500, 0.500, 0.500)
Cd (0.000, 0.000, 0.000)
K (0.750, 0.750, 0.750)
K (0.250, 0.250, 0.250)

Compound: KZn2Cd
Source: Alexandria via LeMat-Bulk
Functional: meta-GGA SCAN
Structure: single point on PBEsol structure

ΔE_f	0.090	eV per atom

Cell lengths 2.865, 3.836, 8.097 Å; angles 90.00, 90.00, 90.00 degrees
Sites, in units of the cell vectors:
Cd (0.000, 0.000, 0.436)
K (0.500, 0.500, 0.769)
Zn (0.500, 0.500, 0.217)
Zn (0.000, 0.000, 0.078)

Compound: K2ZnCd
Source: Alexandria via LeMat-Bulk
Functional: meta-GGA SCAN
Structure: single point on PBEsol structure

ΔE_f	0.020	eV per atom
energy above the most stable polymorph in this dataset	0.030	eV per atom

Cell lengths 4.163, 5.870, 6.683 Å; angles 116.05, 108.15, 90.00 degrees
Sites, in units of the cell vectors:
Cd (0.195, 0.695, 0.390)
Zn (0.548, 0.548, 0.097)
K (0.977, 0.977, 0.953)
K (0.780, 0.280, 0.560)

Compound: K2ZnCd
Source: Alexandria via LeMat-Bulk
Functional: meta-GGA SCAN
Structure: single point on PBEsol structure

ΔE_f	-0.010	eV per atom
energy above the most stable polymorph in this dataset	0.000	eV per atom

Cell lengths 4.674, 4.674, 8.871 Å; angles 74.72, 74.72, 60.00 degrees
Sites, in units of the cell vectors:
Zn (0.542, 0.542, 0.375)
Cd (0.208, 0.208, 0.375)
K (0.783, 0.783, 0.650)
K (0.967, 0.967, 0.100)

Compound: KZn2Cd
Source: Alexandria via LeMat-Bulk
Functional: meta-GGA SCAN
Structure: single point on PBEsol structure

ΔE_f	-0.061	eV per atom

Cell lengths 4.524, 4.524, 6.635 Å; angles 70.07, 70.07, 60.00 degrees
Sites, in units of the cell vectors:
Zn (0.071, 0.071, 0.786)
Zn (0.747, 0.747, 0.760)
K (0.255, 0.255, 0.235)
Cd (0.441, 0.441, 0.677)

Compound: KZr3Cd
Source: Alexandria via LeMat-Bulk
Functional: meta-GGA SCAN
Structure: single point on PBEsol structure

ΔE_f	1.804	eV per atom

Cell lengths 4.801, 4.801, 4.801 Å; angles 90.00, 90.00, 90.00 degrees
Sites, in units of the cell vectors:
K (0.000, 0.000, 0.000)
Zr (0.000, 0.000, 0.500)
Zr (0.000, 0.500, 0.000)
Zr (0.500, 0.000, 0.000)
Cd (0.500, 0.500, 0.500)

Compound: KZrCd2
Source: Alexandria via LeMat-Bulk
Functional: meta-GGA SCAN
Structure: single point on PBEsol structure

ΔE_f	0.224	eV per atom
energy above the most stable polymorph in this dataset	0.000	eV per atom

Cell lengths 3.140, 3.140, 10.341 Å; angles 90.00, 90.00, 90.00 degrees
Sites, in units of the cell vectors:
Cd (0.000, 0.000, 0.005)
Cd (0.500, 0.500, 0.209)
K (0.000, 0.000, 0.479)
Zr (0.500, 0.500, 0.807)

Compound: KZrCd3
Source: Alexandria via LeMat-Bulk
Functional: meta-GGA SCAN
Structure: single point on PBEsol structure

ΔE_f	1.235	eV per atom

Cell lengths 5.221, 5.221, 5.221 Å; angles 90.00, 90.00, 90.00 degrees
Sites, in units of the cell vectors:
K (0.000, 0.000, 0.000)
Cd (0.500, 0.000, 0.000)
Cd (0.000, 0.000, 0.500)
Cd (0.000, 0.500, 0.000)
Zr (0.500, 0.500, 0.500)

Compound: K2ZrCd
Source: Alexandria via LeMat-Bulk
Functional: meta-GGA SCAN
Structure: single point on PBEsol structure

ΔE_f	0.654	eV per atom

Cell lengths 3.048, 6.152, 6.568 Å; angles 90.00, 90.00, 90.00 degrees
Sites, in units of the cell vectors:
Zr (0.500, 0.500, 0.000)
K (0.000, 0.000, 0.257)
K (0.000, 0.000, 0.743)
Cd (0.500, 0.500, 0.500)

Compound: KZrCd2
Source: Alexandria via LeMat-Bulk
Functional: meta-GGA SCAN
Structure: single point on PBEsol structure

ΔE_f	0.517	eV per atom
energy above the most stable polymorph in this dataset	0.293	eV per atom

Cell lengths 5.086, 5.086, 5.086 Å; angles 60.00, 60.00, 60.00 degrees
Sites, in units of the cell vectors:
Zr (0.250, 0.250, 0.250)
K (0.500, 0.500, 0.500)
Cd (0.000, 0.000, 0.000)
Cd (0.750, 0.750, 0.750)

What total DFT energy (no corrections) values result from the calculations? In sequence: -30.04 -29.99 -36.99 -29.92 -33.78 -29.99 -37.18 -37.13 -54.68 -30.01 -33.96 -33.95 -34.02 -33.96 -28.08 -34.09 -33.41 -15.14 -19.25 -16.17 -15.00 -16.35 -15.13 -15.16 -16.50 -24.36 -24.74 -24.82 -18.79 -24.45 eV/atom.